(1)
! K2CrRu PBE relaxed; values from VASP
! Crystal system: monoclinic
&SYSTEM
  ibrav = 0, nat = 8, ntyp = 3
/
ATOMIC_SPECIES
K 39.10 K.upf
Cr 52.00 Cr.upf
Ru 101.07 Ru.upf
ATOMIC_POSITIONS angstrom
K 1.4256 2.9228 0.0000
K 1.4256 8.7684 0.0000
K 4.2767 2.9228 0.0000
K 4.2767 8.7684 0.0000
Cr -0.6905 0.0000 1.3810
Cr 2.1606 5.8456 1.3810
Ru -0.6905 5.8456 1.3810
Ru 2.1606 0.0000 1.3810
CELL_PARAMETERS angstrom
5.7022 0.0000 0.0000
0.0000 11.6912 0.0000
-1.3809 0.0000 2.7621



(2)
! Pr4Sn2O PBE relaxed; values from VASP
! Crystal system: monoclinic
! Formation energy (no corrections) (eV/atom): -1.2398
&SYSTEM
  ibrav = 0, nat = 14, ntyp = 3
/
ATOMIC_SPECIES
Pr 140.91 Pr.upf
Sn 118.71 Sn.upf
O 16.00 O.upf
ATOMIC_POSITIONS angstrom
Pr 1.1335 1.7353 0.4253
Pr -0.7042 3.5149 6.3771
Pr -0.7042 6.8972 6.3771
Pr 0.7308 5.2060 3.0732
Pr 2.6572 1.7353 5.9441
Pr 4.0922 0.0442 2.6402
Pr 4.0922 3.4265 2.6402
Pr 2.2545 5.2060 8.5920
Sn 0.2929 1.7353 3.6310
Sn 2.1528 5.2060 0.2625
Sn 1.2352 1.7353 8.7548
Sn 3.0951 5.2060 5.3862
O -1.9663 1.7353 7.1002
O 5.3543 5.2060 1.9171
CELL_PARAMETERS angstrom
6.6451 0.0000 0.0000
0.0000 6.9413 0.0000
-3.2571 0.0000 9.0173



| no. | distance to the lowest polymorph of the same formula (meV/atom) | E_tot (eV per atom) |
| --- | --- | --- |
| 1 | 617 | -3.971 |
| 2 | 0 | -5.823 |